Compound: MnBe2Tc
Source: the Alexandria database
Functional: PBE
Structure: optimized geometry

Output
The calculation puts the total energy at -6.8135 eV/atom. For the excess energy over the best structure of this formula in the dataset, the calculation gives 85 meV/atom. Its energy relative to the elements is -66 meV/atom.

a = 2.816 Å, b = 2.816 Å, c = 5.384 Å
α = 90.00°, β = 90.00°, γ = 90.00°
Sites, in units of the cell vectors:
Tc: 0.500 0.500 0.740
Be: 0.500 0.500 0.237
Be: 0.000 0.000 0.033
Mn: 0.000 0.000 0.491